Below is a relaxed SmAl3Pd2 crystal, with properties calculated at the GGA-PBE level.

Values from the calculation:
space-group type	P6/mmm, No. 191
formation enthalpy at 0 K	-491	kJ/mol of formula units
energy relative to the lowest polymorph listed for this composition	0.0000	eV per atom
volume	108.77	Å³/cell

Geometry as POSCAR:
```
SmAl3Pd2
1.0
5.459 0.000 0.000
-2.729 4.727 0.000
0.000 0.000 4.215
Sm Al Pd
1 3 2
Cartesian
0.000 0.000 0.000
-1.365 2.364 2.108
2.729 0.000 2.108
1.365 2.364 2.108
0.000 3.152 0.000
2.729 1.576 0.000
```